1.
Material: AgTe2NO
Method: DFT, GGA-PBE
State: relaxed

Lattice parameters (Å, degrees): 4.8473 4.8473 3.9664 90.00 90.00 90.00
Sites, in units of the cell vectors:
Ag 0.0000 0.0000 0.0000
Te 0.0000 0.5000 0.5000
Te 0.5000 0.0000 0.5000
N 0.5000 0.5000 0.0000
O 0.5000 0.5000 0.5000

Calculated values
- final energy (eV/cell) = -16.9
- total magnetic moment (μB/cell) = 1.75
- space group = P4/mmm

---

2.
Material: AgTe2NO
Method: DFT, GGA-PBE
State: relaxed

Lattice parameters (Å, degrees): 5.5294 5.5294 3.9079 90.00 90.00 90.00
Sites, in units of the cell vectors:
Ag 0.0000 0.0000 0.0000
Te 0.0000 0.5000 0.0000
Te 0.5000 0.0000 0.0000
N 0.0000 0.0000 0.5000
O 0.5000 0.5000 0.5000

Calculated values
- final energy (eV/cell) = -14.7
- total magnetic moment (μB/cell) = 3.28
- space group = P4/mmm

---

3.
Material: AgTeNO2
Method: DFT, GGA-PBE
State: relaxed

Lattice parameters (Å, degrees): 4.0185 4.0185 4.0771 90.00 90.00 90.00
Sites, in units of the cell vectors:
Ag 0.0000 0.0000 0.0000
Te 0.5000 0.5000 0.5000
N 0.5000 0.5000 0.0000
O 0.0000 0.5000 0.5000
O 0.5000 0.0000 0.5000

Calculated values
- final energy (eV/cell) = -22.8
- total magnetic moment (μB/cell) = 0.59
- space group = P4/mmm

---

4.
Material: AgTeNO2
Method: DFT, GGA-PBE
State: relaxed

Lattice parameters (Å, degrees): 4.0309 4.0309 4.1665 90.00 90.00 90.00
Sites, in units of the cell vectors:
Ag 0.0000 0.0000 0.0000
Te 0.5000 0.5000 0.5000
N 0.0000 0.0000 0.5000
O 0.0000 0.5000 0.0000
O 0.5000 0.0000 0.0000

Calculated values
- final energy (eV/cell) = -19.3
- total magnetic moment (μB/cell) = 0.00
- space group = P4/mmm

---

5.
Material: TiAgNO2
Method: DFT, GGA-PBE
State: relaxed

Lattice parameters (Å, degrees): 3.8536 3.8536 4.0833 90.00 90.00 90.00
Sites, in units of the cell vectors:
Ti 0.0000 0.0000 0.0000
Ag 0.5000 0.5000 0.5000
N 0.0000 0.0000 0.5000
O 0.0000 0.5000 0.0000
O 0.5000 0.0000 0.0000

Calculated values
- final energy (eV/cell) = -32.8
- total magnetic moment (μB/cell) = 0.00
- space group = P4/mmm

---

6.
Material: Ti2AgNO
Method: DFT, GGA-PBE
State: relaxed

Lattice parameters (Å, degrees): 4.0339 4.0339 4.2283 90.00 90.00 90.00
Sites, in units of the cell vectors:
Ti 0.0000 0.5000 0.0000
Ti 0.5000 0.0000 0.0000
Ag 0.0000 0.0000 0.5000
N 0.5000 0.5000 0.0000
O 0.5000 0.5000 0.5000

Calculated values
- final energy (eV/cell) = -32.6
- total magnetic moment (μB/cell) = 0.23
- space group = P4/mmm

---

Copy entry 3 word for word.
Material: AgTeNO2
Method: DFT, GGA-PBE
State: relaxed

Lattice parameters (Å, degrees): 4.0185 4.0185 4.0771 90.00 90.00 90.00
Sites, in units of the cell vectors:
Ag 0.0000 0.0000 0.0000
Te 0.5000 0.5000 0.5000
N 0.5000 0.5000 0.0000
O 0.0000 0.5000 0.5000
O 0.5000 0.0000 0.5000

Calculated values
- final energy (eV/cell) = -22.8
- total magnetic moment (μB/cell) = 0.59
- space group = P4/mmm

---

Which value of final energy does entry 4 give? -19.3 eV/cell